Density functional theory data (PBE) for a relaxed PmMg7Pd4 crystal.

The structure belongs to space group C2/m (No. 12); the cell edges are 12.568, 5.111 and 9.317 Å and the angles 90.00°, 125.83° and 90.00°. The distinct sites, in fractional coordinates, are Pm at (0.000, 0.000, 0.000), Mg at (0.000, 0.500, 0.000), Mg at (0.065, 0.000, 0.387), Mg at (0.181, 0.500, 0.617), Mg at (0.220, 0.000, 0.873), Pd at (0.070, 0.500, 0.783) and Pd at (0.191, 0.500, 0.336).

The calculation puts the calculated formation energy at -0.295 eV per atom. The density of states at the Fermi level is 13.09 states/eV/cell.

---

Density functional theory data (PBE) for a relaxed Pm3MgPd2 crystal.

The structure belongs to space group Ibam (No. 72); the cell edges are 6.710, 13.448 and 7.478 Å and the angles 90.00°, 90.00° and 90.00°. The distinct sites, in fractional coordinates, are Pm at (0.000, 0.000, 0.250), Pm at (0.000, 0.284, 0.250), Mg at (0.000, 0.500, 0.000) and Pd at (0.199, 0.138, 0.000).

The calculation puts the calculated formation energy at -0.484 eV per atom. The density of states at the Fermi level is 20.77 states/eV/cell.

---

Density functional theory data (PBE) for a relaxed Pm4MgPd crystal.

The structure belongs to space group P-1 (No. 2); the cell edges are 4.955, 4.968 and 8.038 Å and the angles 90.15°, 90.09° and 90.00°. The distinct sites, in fractional coordinates, are Pm at (0.000, 0.001, 0.283), Pm at (0.499, 0.500, 0.716), Mg at (0.000, 0.500, 0.000) and Pd at (0.500, 0.000, 0.500).

The calculation puts the offset from the most stable computed form at 0.311 eV per atom. The calculation puts the calculated formation energy at -0.013 eV per atom. The density of states at the Fermi level is 7.31 states/eV/cell.

---

Density functional theory data (PBE) for a relaxed Pm2MgPd crystal.

The structure belongs to space group R-3m (No. 166, hexagonal axes); the cell edges are 3.3781, 3.3781 and 32.9382 Å and the angles 90.00°, 90.00° and 120.00°. The distinct sites, in fractional coordinates, are Pm at (0.0000, 0.0000, 0.0818), Mg at (0.0000, 0.0000, 0.5000) and Pd at (0.0000, 0.0000, 0.0000).

The calculation puts the offset from the most stable computed form at 0.511 eV per atom. The calculation puts the calculated formation energy at 0.087 eV per atom. The density of states at the Fermi level is 12.51 states/eV/cell.

---

Density functional theory data (PBE) for a relaxed PmMgPd6 crystal.

The structure belongs to space group P4/mmm (No. 123); the cell edges are 4.121, 4.121 and 8.013 Å and the angles 90.00°, 90.00° and 90.00°. The distinct sites, in fractional coordinates, are Pm at (0.000, 0.000, 0.000), Mg at (0.000, 0.000, 0.500), Pd at (0.000, 0.500, 0.265), Pd at (0.500, 0.500, 0.000) and Pd at (0.500, 0.500, 0.500).

The calculation puts the calculated formation energy at -0.619 eV per atom. The density of states at the Fermi level is 8.89 states/eV/cell.

---

Density functional theory data (PBE) for a relaxed PmMg2Pd crystal.

The structure belongs to space group Pnma (No. 62); the cell edges are 15.868, 8.243 and 5.628 Å and the angles 90.00°, 90.00° and 90.00°. The distinct sites, in fractional coordinates, are Pm at (0.106, 0.250, 0.244), Pm at (0.137, 0.750, 0.048), Mg at (0.039, 0.055, 0.742), Mg at (0.212, 0.555, 0.542), Pd at (0.068, 0.750, 0.534) and Pd at (0.185, 0.250, 0.749).

The calculation puts the offset from the most stable computed form at 0.013 eV per atom. The calculation puts the calculated formation energy at -0.512 eV per atom. The density of states at the Fermi level is 21.91 states/eV/cell.

---

Density functional theory data (PBE) for a relaxed PmMg2Pd crystal.

The structure belongs to space group Cmcm (No. 63); the cell edges are 4.239, 10.423 and 8.314 Å and the angles 90.00°, 90.00° and 90.00°. The distinct sites, in fractional coordinates, are Pm at (0.000, 0.061, 0.250), Mg at (0.000, 0.350, 0.054) and Pd at (0.000, 0.227, 0.750).

The calculation puts the offset from the most stable computed form at 0.000 eV per atom. The calculation puts the calculated formation energy at -0.525 eV per atom. The density of states at the Fermi level is 8.25 states/eV/cell.

---

Density functional theory data (PBE) for a relaxed Pm2Mg3Pd2 crystal.

The structure belongs to space group C2/m (No. 12); the cell edges are 10.364, 4.378 and 7.675 Å and the angles 90.00°, 112.83° and 90.00°. The distinct sites, in fractional coordinates, are Pm at (0.142, 0.000, 0.284), Mg at (0.000, 0.500, 0.500), Mg at (0.134, 0.500, 0.940) and Pd at (0.146, 0.000, 0.701).

The calculation puts the offset from the most stable computed form at 0.000 eV per atom. The calculation puts the calculated formation energy at -0.568 eV per atom. The density of states at the Fermi level is 8.30 states/eV/cell.

---

Density functional theory data (PBE) for a relaxed PmMgPd crystal.

The structure belongs to space group F-43m (No. 216); the cell edges are 6.777, 6.777 and 6.777 Å and the angles 90.00°, 90.00° and 90.00°. The distinct sites, in fractional coordinates, are Pm at (0.000, 0.000, 0.000), Mg at (0.000, 0.000, 0.500) and Pd at (0.250, 0.250, 0.750).

The calculation puts the offset from the most stable computed form at 0.158 eV per atom. The calculation puts the calculated formation energy at -0.494 eV per atom. The density of states at the Fermi level is 9.42 states/eV/cell.

---

Density functional theory data (PBE) for a relaxed PmMg5Pd6 crystal.

The structure belongs to space group P-1 (No. 2); the cell edges are 4.569, 6.660 and 7.250 Å and the angles 90.09°, 107.89° and 90.17°. The distinct sites, in fractional coordinates, are Pm at (0.000, 0.000, 0.000), Mg at (0.000, 0.500, 0.000), Mg at (0.326, 0.000, 0.652), Mg at (0.334, 0.500, 0.669), Pd at (0.171, 0.262, 0.342), Pd at (0.172, 0.738, 0.342) and Pd at (0.500, 0.269, 0.000).

The calculation puts the calculated formation energy at -0.710 eV per atom. The density of states at the Fermi level is 4.44 states/eV/cell.

---

Density functional theory data (PBE) for a relaxed Pm6Mg2Pd crystal.

The structure belongs to space group Immm (No. 71); the cell edges are 3.814, 8.782 and 17.261 Å and the angles 90.00°, 90.00° and 90.00°. The distinct sites, in fractional coordinates, are Pm at (0.000, 0.198, 0.169), Pm at (0.000, 0.253, 0.500), Mg at (0.000, 0.000, 0.342) and Pd at (0.000, 0.000, 0.000).

The calculation puts the calculated formation energy at 0.028 eV per atom. The density of states at the Fermi level is 17.09 states/eV/cell.

---

Density functional theory data (PBE) for a relaxed Pm6MgPd2 crystal.

The structure belongs to space group Immm (No. 71); the cell edges are 9.708, 10.007 and 10.794 Å and the angles 90.00°, 90.00° and 90.00°. The distinct sites, in fractional coordinates, are Pm at (0.000, 0.196, 0.238), Pm at (0.198, 0.500, 0.177), Pm at (0.212, 0.317, 0.500), Mg at (0.000, 0.000, 0.000), Mg at (0.000, 0.000, 0.500), Pd at (0.000, 0.341, 0.000) and Pd at (0.000, 0.500, 0.371).

The calculation puts the calculated formation energy at -0.377 eV per atom. The density of states at the Fermi level is 37.04 states/eV/cell.